1.
PBE-GGA Mn3AsAu, relaxed; crystal system = cubic; DFT formation energy = 0.90 eV per atom; total magnetic moment = 2.540 μB/atom
1.0
4.895 0.000 0.000
0.000 4.895 0.000
0.000 0.000 4.895
Mn As Au
3 1 1
direct
0.000 0.000 0.500
0.000 0.500 0.000
0.500 0.000 0.000
0.500 0.500 0.500
0.000 0.000 0.000

2.
PBE-GGA Mn2AsAu, relaxed; crystal system = orthorhombic; DFT formation energy = 0.09 eV per atom; total magnetic moment = 1.913 μB/atom
1.0
2.924 0.000 0.000
0.000 4.686 0.000
0.000 0.000 4.735
Mn As Au
2 1 1
direct
0.000 0.000 0.000
0.000 0.500 0.389
0.500 0.500 0.912
0.500 0.000 0.499

3.
PBE-GGA MnAs3Au, relaxed; crystal system = cubic; DFT formation energy = 1.50 eV per atom; total magnetic moment = 0.118 μB/atom
1.0
4.986 0.000 0.000
0.000 4.986 0.000
0.000 0.000 4.986
Mn As Au
1 3 1
direct
0.000 0.000 0.000
0.000 0.500 0.500
0.500 0.000 0.500
0.500 0.500 0.000
0.500 0.500 0.500